Computed, not measured: a relaxed structure of TlGe2Br2 at the PBEsol level of DFT.

The structure belongs to space group I4/mmm (No. 139); the cell edges are 3.814, 3.814 and 17.768 Å and the angles 90.00°, 90.00° and 90.00°. The distinct sites, in fractional coordinates, are Tl at (0.000, 0.000, 0.000), Ge at (0.000, 0.500, 0.250) and Br at (0.000, 0.000, 0.390).

As for the density of states at the Fermi level: 0.308 states/eV per atom. Its calculated total energy is -17.322 eV/f.u.

***

Computed, not measured: a relaxed structure of GeWBr2 at the PBEsol level of DFT.

The structure belongs to space group R-3m (No. 166, hexagonal axes); the cell edges are 3.1193, 3.1193 and 28.8624 Å and the angles 90.00°, 90.00° and 120.00°. The distinct sites, in fractional coordinates, are Ge at (0.0000, 0.0000, 0.0000), W at (0.0000, 0.0000, 0.5000) and Br at (0.0000, 0.0000, 0.4164).

As for the density of states at the Fermi level: 0.506 states/eV per atom. Its calculated total energy is -20.232 eV/f.u.

***

Computed, not measured: a relaxed structure of ZrGeBr3 at the PBEsol level of DFT.

The structure belongs to space group Pm-3m (No. 221); the cell edges are 5.233, 5.233 and 5.233 Å and the angles 90.00°, 90.00° and 90.00°. The distinct sites, in fractional coordinates, are Zr at (0.000, 0.000, 0.000), Ge at (0.500, 0.500, 0.500) and Br at (0.000, 0.500, 0.500).

As for the density of states at the Fermi level: 1.357 states/eV per atom. Its calculated total energy is -18.201 eV/f.u.

***

Computed, not measured: a relaxed structure of H2Br at the PBEsol level of DFT.

The structure belongs to space group P1 (No. 1); the cell edges are 3.885, 4.965 and 5.931 Å and the angles 113.59°, 95.70° and 90.28°. The distinct sites, in fractional coordinates, are H at (0.000, 0.000, 0.000), H at (0.056, 0.527, 0.053), H at (0.727, 0.977, 0.476), H at (0.799, 0.110, 0.459), Br at (0.261, 0.386, 0.208) and Br at (0.797, 0.710, 0.846).

As for the density of states at the Fermi level: 0.000 states/eV per atom. Its calculated total energy is -8.867 eV/f.u.